A plane-wave DFT calculation with PBE was carried out for a geometry-optimized Nd3Zn3Ag8 structure.

abc: 8.459 8.459 8.459
angles: 147.98 109.45 79.58
Element x y z (fractional)
Nd (0.000, 0.000, 0.000)
Nd (0.299, 0.299, 0.000)
Nd (0.701, 0.701, 0.000)
Zn (0.314, 0.500, 0.814)
Zn (0.500, 0.000, 0.500)
Zn (0.686, 0.500, 0.186)
Ag (0.021, 0.662, 0.359)
Ag (0.166, 0.877, 0.288)
Ag (0.303, 0.662, 0.641)
Ag (0.411, 0.123, 0.288)
Ag (0.589, 0.877, 0.712)
Ag (0.697, 0.338, 0.359)
Ag (0.834, 0.123, 0.712)
Ag (0.979, 0.338, 0.641)

## Properties
**Symmetry**: Immm

A plane-wave DFT calculation with PBE was carried out for a geometry-optimized NdZn12Ag7 structure.

abc: 8.170 8.170 8.170
angles: 109.47 109.47 109.47
Element x y z (fractional)
Nd (0.000, 0.000, 0.000)
Zn (0.107, 0.752, 0.355)
Zn (0.248, 0.355, 0.603)
Zn (0.248, 0.645, 0.893)
Zn (0.355, 0.107, 0.752)
Zn (0.355, 0.603, 0.248)
Zn (0.397, 0.752, 0.645)
Zn (0.603, 0.248, 0.355)
Zn (0.645, 0.397, 0.752)
Zn (0.645, 0.893, 0.248)
Zn (0.752, 0.355, 0.107)
Zn (0.752, 0.645, 0.397)
Zn (0.893, 0.248, 0.645)
Ag (0.000, 0.000, 0.500)
Ag (0.000, 0.500, 0.000)
Ag (0.000, 0.500, 0.500)
Ag (0.500, 0.000, 0.000)
Ag (0.500, 0.000, 0.500)
Ag (0.500, 0.500, 0.000)
Ag (0.500, 0.500, 0.500)

## Properties
**Symmetry**: Im-3

Looking at energy relative to the elements for the records above, in order, we have -0.212; 0.192 eV/atom.